The following is a DFT calculation (GGA-PBE) of an optimized crystal structure of MgP2Se.

Output
E_form (uncorrected): 438 meV per atom
DOS at the Fermi energy: 0.502 states/eV per atom
offset from the most stable computed form: 853 meV per atom
M_tot: 0.0 μB/f.u.
uncorrected energy: -3.54 eV per atom

Structure (POSCAR):
```
MgP2Se
1.0
6.570 0.000 0.000
0.000 6.570 0.000
0.000 0.000 6.570
Mg P Se
4 8 4
direct
0.000 0.000 0.000
0.000 0.500 0.500
0.500 0.000 0.500
0.500 0.500 0.000
0.250 0.250 0.250
0.250 0.250 0.750
0.250 0.750 0.250
0.250 0.750 0.750
0.750 0.250 0.250
0.750 0.250 0.750
0.750 0.750 0.250
0.750 0.750 0.750
0.000 0.000 0.500
0.000 0.500 0.000
0.500 0.000 0.000
0.500 0.500 0.500
```